No. 1
Crystalline UHgTe2 at its relaxed geometry. Source: the Alexandria database, functional PBE-GGA.

Values from the calculation:
E_form (uncorrected): -1.69 eV per formula unit
final energy: -4.89 eV/atom
distance to the lowest polymorph of the same formula: 0.000 eV per atom

POSCAR file:
```
UHgTe2
1.0
-0.664 3.873 -1.624
-3.245 -2.200 1.645
4.098 4.102 8.107
U Hg Te
1 1 2
Direct
0.000 0.000 0.500
0.500 0.000 0.000
0.271 0.543 0.313
0.729 0.457 0.687
```

---

No. 2
Crystalline Sr2TaCr at its relaxed geometry. Source: the Alexandria database, functional PBE-GGA.

Values from the calculation:
final energy: -5.03 eV/atom
distance to the lowest polymorph of the same formula: 0.595 eV per atom
ΔE_f: 1.178 eV per atom

POSCAR file:
```
Sr2TaCr
1.0
-3.543 0.512 -10.852
-6.492 -0.328 -9.398
-5.544 2.927 -9.554
Cr Sr Ta
1 2 1
Direct
0.750 0.750 0.750
0.998 0.998 0.998
0.502 0.502 0.502
0.250 0.250 0.250
```